DFT (PBE) results for crystalline TlSb3Ru at its relaxed geometry.

energy relative to the elements, uncorrected	1.717	eV/atom
magnetic moment	2.20	μB/f.u.
energy above the lowest structure with this stoichiometry	1388	meV per atom
volume	174	Å³ per cell

Unit cell a=5.588 b=5.588 c=5.588 alpha=90.00 beta=90.00 gamma=90.00
Each line ends with the local moment (μB).
Fractional positions:
1 Tl 0.000 0.000 0.000  0.00
2 Ru 0.500 0.500 0.500  2.40
3 Sb 0.000 0.000 0.500  -0.08
4 Sb 0.500 0.000 0.000  -0.03
5 Sb 0.000 0.500 0.000  -0.07

DFT (PBE) results for crystalline TlSb2Ru at its relaxed geometry.

energy relative to the elements, uncorrected	0.573	eV/atom
magnetic moment	0.00	μB/f.u.
energy above the lowest structure with this stoichiometry	575	meV per atom
volume	90	Å³ per cell

Unit cell a=5.356 b=5.356 c=5.356 alpha=129.06 beta=129.06 gamma=74.92
Fractional positions:
1 Sb 0.000 0.000 0.000
2 Sb 0.250 0.750 0.500
3 Tl 0.500 0.500 0.000
4 Ru 0.750 0.250 0.500

DFT (PBE) results for crystalline TlSb2Ru at its relaxed geometry.

energy relative to the elements, uncorrected	0.159	eV/atom
magnetic moment	0.00	μB/f.u.
energy above the lowest structure with this stoichiometry	161	meV per atom
volume	95	Å³ per cell

Unit cell a=6.866 b=6.866 c=6.866 alpha=153.02 beta=139.38 gamma=49.44
Fractional positions:
1 Tl 0.750 0.250 0.500
2 Sb 0.069 0.069 0.000
3 Sb 0.431 0.431 0.000
4 Ru 0.250 0.750 0.500

DFT (PBE) results for crystalline Tl2SbRu at its relaxed geometry.

energy relative to the elements, uncorrected	0.540	eV/atom
magnetic moment	0.00	μB/f.u.
energy above the lowest structure with this stoichiometry	439	meV per atom
volume	98	Å³ per cell

Unit cell a=5.166 b=3.633 c=5.994 alpha=60.75 beta=90.00 gamma=90.00
Fractional positions:
1 Tl 0.000 0.314 0.482
2 Tl 0.000 0.186 0.018
3 Ru 0.500 0.250 0.250
4 Sb 0.500 0.750 0.750

DFT (PBE) results for crystalline Tl2SbRu at its relaxed geometry.

energy relative to the elements, uncorrected	0.669	eV/atom
magnetic moment	0.00	μB/f.u.
energy above the lowest structure with this stoichiometry	568	meV per atom
volume	91	Å³ per cell

Unit cell a=4.612 b=4.445 c=4.445 alpha=90.00 beta=90.00 gamma=90.00
Fractional positions:
1 Sb 0.500 0.000 0.500
2 Tl 0.000 0.000 0.000
3 Tl 0.000 0.500 0.500
4 Ru 0.500 0.500 0.000

DFT (PBE) results for crystalline Tl2SbRu at its relaxed geometry.

energy relative to the elements, uncorrected	0.574	eV/atom
magnetic moment	0.25	μB/f.u.
energy above the lowest structure with this stoichiometry	473	meV per atom
volume	93	Å³ per cell

Unit cell a=3.583 b=4.686 c=6.059 alpha=66.54 beta=90.00 gamma=90.00
Each line ends with the local moment (μB).
Fractional positions:
1 Sb 0.000 0.000 0.500  0.00
2 Ru 0.500 0.500 0.500  0.25
3 Tl 0.500 0.500 0.000  0.00
4 Tl 0.000 0.000 0.000  0.00

DFT (PBE) results for crystalline TlSb2Ru at its relaxed geometry.

energy relative to the elements, uncorrected	0.058	eV/atom
magnetic moment	0.00	μB/f.u.
energy above the lowest structure with this stoichiometry	60	meV per atom
volume	104	Å³ per cell

Unit cell a=4.053 b=4.053 c=7.700 alpha=74.71 beta=74.71 gamma=60.08
Fractional positions:
1 Tl 0.750 0.750 0.750
2 Ru 0.250 0.250 0.250
3 Sb 0.975 0.975 0.075
4 Sb 0.525 0.525 0.425

DFT (PBE) results for crystalline Tl2SbRu at its relaxed geometry.

energy relative to the elements, uncorrected	0.595	eV/atom
magnetic moment	0.19	μB/f.u.
energy above the lowest structure with this stoichiometry	494	meV per atom
volume	92	Å³ per cell

Unit cell a=5.266 b=5.266 c=5.266 alpha=126.32 beta=126.32 gamma=79.37
Each line ends with the local moment (μB).
Fractional positions:
1 Sb 0.750 0.250 0.500  0.00
2 Tl 0.250 0.750 0.500  0.00
3 Tl 0.000 0.000 0.000  0.00
4 Ru 0.500 0.500 0.000  0.17

DFT (PBE) results for crystalline TlSbRu3 at its relaxed geometry.

energy relative to the elements, uncorrected	1.393	eV/atom
magnetic moment	2.01	μB/f.u.
energy above the lowest structure with this stoichiometry	0	meV per atom
volume	113	Å³ per cell

Unit cell a=4.839 b=4.839 c=4.839 alpha=90.00 beta=90.00 gamma=90.00
Each line ends with the local moment (μB).
Fractional positions:
1 Sb 0.000 0.000 0.000  -0.05
2 Ru 0.000 0.000 0.500  0.85
3 Ru 0.000 0.500 0.000  0.69
4 Ru 0.500 0.000 0.000  0.56
5 Tl 0.500 0.500 0.500  -0.03

DFT (PBE) results for crystalline TlSb2Ru at its relaxed geometry.

energy relative to the elements, uncorrected	0.588	eV/atom
magnetic moment	0.43	μB/f.u.
energy above the lowest structure with this stoichiometry	590	meV per atom
volume	91	Å³ per cell

Unit cell a=3.821 b=4.761 c=5.013 alpha=90.00 beta=90.00 gamma=90.00
Each line ends with the local moment (μB).
Fractional positions:
1 Sb 0.000 0.000 0.000  0.00
2 Sb 0.500 0.500 0.000  0.00
3 Tl 0.500 0.000 0.500  0.00
4 Ru 0.000 0.500 0.500  0.42

DFT (PBE) results for crystalline Tl2SbRu at its relaxed geometry.

energy relative to the elements, uncorrected	0.168	eV/atom
magnetic moment	0.00	μB/f.u.
energy above the lowest structure with this stoichiometry	67	meV per atom
volume	100	Å³ per cell

Unit cell a=9.903 b=9.903 c=9.903 alpha=20.06 beta=20.06 gamma=20.06
Fractional positions:
1 Tl 0.234 0.234 0.234
2 Tl 0.000 0.000 0.000
3 Ru 0.496 0.496 0.496
4 Sb 0.770 0.770 0.770

DFT (PBE) results for crystalline Tl2SbRu at its relaxed geometry.

energy relative to the elements, uncorrected	0.724	eV/atom
magnetic moment	0.00	μB/f.u.
energy above the lowest structure with this stoichiometry	623	meV per atom
volume	93	Å³ per cell

Unit cell a=5.078 b=5.078 c=5.078 alpha=60.00 beta=60.00 gamma=60.00
Fractional positions:
1 Sb 0.500 0.500 0.500
2 Tl 0.750 0.750 0.750
3 Tl 0.250 0.250 0.250
4 Ru 0.000 0.000 0.000